Here is KCdAsSe2 after structural relaxation from Alexandria via LeMat-Bulk. Energies are from PBE.

a = 5.6249 Å, b = 5.6249 Å, c = 5.5325 Å
α = 90.00°, β = 90.00°, γ = 90.00°
Closest atoms and distances in Å follow each position.
Sites, in units of the cell vectors:
Se: 0.0000 0.5000 0.0000  2 K 2.81
K: 0.0000 0.0000 0.0000  2 As 2.77, 4 Se 2.81
Se: 0.5000 0.0000 0.0000  2 K 2.81
Cd: 0.5000 0.5000 0.5000  8 Se 3.94, 4 As 3.98
As: 0.0000 0.0000 0.5000  2 K 2.77

Computed properties:
* raw formation energy: 1.025 eV/atom
* total magnetic moment: 0.00 Bohr magnetons per cell
* raw total energy: -1.702 eV/atom
* distance to the lowest polymorph of the same formula: 964.6 meV per atom
* D(E_F): 7.5 states/eV per cell
* calculated density: 3.65 g cm⁻³